Material: LiCu3P3O11
Method: DFT, PBE
State: relaxed

Lattice parameters (Å, degrees): 8.626 9.541 10.643 90.00 93.23 90.00
Last column: magnetic moment on the atom in μB.
Atoms (fractional coordinates):
1 Li 0.059 0.761 0.487  0.00
2 Li 0.059 0.739 0.987  0.00
3 Li 0.941 0.261 0.013  0.00
4 Li 0.941 0.239 0.513  0.00
5 Cu 0.016 0.304 0.752  0.63
6 Cu 0.016 0.196 0.252  0.63
7 Cu 0.448 0.380 0.925  0.63
8 Cu 0.418 0.386 0.641  0.59
9 Cu 0.448 0.120 0.425  0.63
10 Cu 0.582 0.886 0.859  0.59
11 Cu 0.418 0.114 0.141  0.59
12 Cu 0.552 0.880 0.575  0.63
13 Cu 0.582 0.614 0.359  0.59
14 Cu 0.552 0.620 0.075  0.63
15 Cu 0.984 0.804 0.748  0.63
16 Cu 0.984 0.696 0.248  0.63
17 P 0.174 0.045 0.900  0.01
18 P 0.192 0.039 0.634  0.01
19 P 0.174 0.455 0.400  0.01
20 P 0.376 0.678 0.812  0.00
21 P 0.192 0.461 0.134  0.01
22 P 0.376 0.822 0.312  0.00
23 P 0.624 0.178 0.688  0.00
24 P 0.808 0.539 0.866  0.01
25 P 0.624 0.322 0.188  0.00
26 P 0.826 0.545 0.600  0.01
27 P 0.808 0.961 0.366  0.01
28 P 0.826 0.955 0.100  0.01
29 O 0.048 0.930 0.891  0.07
30 O 0.075 0.918 0.617  0.08
31 O 0.048 0.570 0.391  0.07
32 O 0.206 0.704 0.820  0.05
33 O 0.106 0.194 0.892  0.08
34 O 0.075 0.582 0.117  0.08
35 O 0.206 0.796 0.320  0.05
36 O 0.120 0.187 0.628  0.07
37 O 0.106 0.306 0.392  0.08
38 O 0.406 0.518 0.787  0.10
39 O 0.274 0.026 0.774  0.00
40 O 0.120 0.313 0.128  0.07
41 O 0.292 0.477 0.510  0.07
42 O 0.467 0.734 0.939  0.20
43 O 0.317 0.019 0.539  0.10
44 O 0.406 0.982 0.287  0.10
45 O 0.274 0.474 0.274  0.00
46 O 0.468 0.770 0.719  0.15
47 O 0.292 0.023 0.010  0.07
48 O 0.467 0.766 0.439  0.20
49 O 0.317 0.481 0.039  0.10
50 O 0.468 0.730 0.219  0.15
51 O 0.532 0.270 0.781  0.15
52 O 0.683 0.519 0.961  0.10
53 O 0.533 0.234 0.561  0.20
54 O 0.708 0.977 0.990  0.07
55 O 0.532 0.230 0.281  0.15
56 O 0.726 0.526 0.726  0.00
57 O 0.594 0.018 0.713  0.10
58 O 0.683 0.981 0.461  0.10
59 O 0.533 0.266 0.061  0.20
60 O 0.708 0.523 0.490  0.07
61 O 0.880 0.687 0.872  0.07
62 O 0.726 0.974 0.226  0.00
63 O 0.594 0.482 0.213  0.10
64 O 0.894 0.694 0.608  0.08
65 O 0.880 0.813 0.372  0.07
66 O 0.794 0.204 0.680  0.05
67 O 0.925 0.418 0.883  0.08
68 O 0.894 0.806 0.108  0.08
69 O 0.794 0.296 0.180  0.05
70 O 0.952 0.430 0.609  0.07
71 O 0.925 0.082 0.383  0.08
72 O 0.952 0.070 0.109  0.07

Values from the calculation:
total energy = -114.2 eV/f.u.
space-group type = No. 14
density of states at the Fermi level = 7.70 states/eV per cell
raw formation energy = -1623 meV per atom
total magnetic moment = 2.93 μB per formula unit